## VO2 (GGA+U)

Data for VO2 after structural relaxation.

Its crystal system is tetragonal. The value obtained for the raw total energy is -371.874 eV/cell.

The structure belongs to space group P4/ncc (No. 130, origin choice 2); the cell edges are 8.589, 8.589 and 7.802 Å and the angles 90.00°, 90.00° and 90.00°. Symmetry generates all atoms from V at (0.049, 0.733, 0.124), O at (0.088, 0.090, 0.376) and O at (0.100, 0.747, 0.375).